[1]
10
Lattice="-3.2468 -2.6524 1.4532 2.1260 -0.4852 3.8644 -9.6880 15.8708 7.3226" Properties=species:S:1:pos:R:3 comment="PBE Ac5Nd4Ho, relaxed" e_tot_ev_per_atom=-4.322 magnetic_moment_mub_per_fu=0.0 ef_ev_per_atom=0.098 volume_a3_per_cell=393 pbc="T T T"
Nd -1.9377 3.1743 1.4646
Ac -7.3378 9.5340 7.7815
Ac -9.3039 12.7549 9.2676
Nd -7.7503 12.6965 5.8580
Ac -3.4709 3.1992 4.8587
Ac -1.5048 -0.0217 3.3726
Nd -3.8768 6.3510 2.9303
Ho 0.0000 0.0000 0.0000
Nd -5.8111 9.5198 4.3923
Ac -5.4044 6.3666 6.3201

[2]
4
Lattice="3.0570 0.0000 0.0000 0.0000 3.1391 0.0264 0.0000 1.4018 9.1024" Properties=species:S:1:pos:R:3 comment="PBE Tc2SbBr, relaxed" e_tot_ev_per_atom=-6.530 magnetic_moment_mub_per_fu=0.0 raw_formation_energy_ev_per_atom=0.1014 polymorph_energy_ev_per_atom=0.000 volume_a3_per_cell=87 pbc="T T T"
Br 0.0000 1.7219 3.8817
Tc 0.0000 0.1816 0.3694
Tc 1.5285 1.7393 1.8543
Sb 1.5285 3.1686 7.5878

[3]
8
Lattice="2.7264 0.0025 0.0032 -0.0042 4.5262 0.0094 -0.0080 -1.4587 8.5331" Properties=species:S:1:pos:R:3 comment="PBE Mn2ZnRh, relaxed" e_tot_ev_per_atom=-6.816 magnetic_moment_mub_per_fu=2.1 ef_ev_per_atom=-0.075 volume_a3_per_cell=105 pbc="T T T"
Mn 0.4648 1.6094 8.5368
Zn 0.4737 0.0786 2.2399
Rh 1.8343 0.8051 4.4411
Rh 1.8387 0.8305 0.0637
Zn 1.8345 2.3639 2.2690
Mn 0.4689 0.0864 6.5127
Mn 1.8298 2.3467 6.5277
Mn 0.4685 3.0869 4.5214

[4]
18
Lattice="4.3809 0.0000 0.0000 -2.1904 9.1553 0.0000 0.0000 0.0000 13.6094" Properties=species:S:1:pos:R:3 comment="PBE Sr2ThInSe5, relaxed" e_tot_ev_per_atom=-4.944 magnetic_moment_mub_per_fu=0.0 raw_formation_energy_ev_per_atom=-1.5058 volume_a3_per_cell=546 pbc="T T T"
Se 0.0000 6.8385 13.5778
Sr 2.1904 7.3768 2.3020
In 0.0000 8.4446 6.1396
Se 0.0000 5.5409 5.1721
Th 2.1904 5.1705 7.0919
Sr 0.0000 2.3831 4.1436
Se 0.0000 1.1505 0.9795
Sr 0.0000 1.7785 9.1067
In 2.1904 0.7107 12.9444
Se 0.0000 9.0393 10.3595
Sr 2.1904 6.7722 10.9483
Se 2.1904 3.6144 11.9768
Se 0.0000 5.0120 9.0808
Se 2.1904 0.1160 3.5547
Se 2.1904 4.1433 2.2761
Th 0.0000 3.9847 0.2872
Se 2.1904 8.0048 7.7842
Se 2.1904 2.3168 6.7731

[5]
8
Lattice="4.4061 0.0000 0.0000 0.0000 7.6688 0.1451 0.0000 -2.6682 7.2405" Properties=species:S:1:pos:R:3 comment="PBE Pm4SiSbTe2, relaxed" e_tot_ev_per_atom=-5.602 magnetic_moment_mub_per_fu=0.0 raw_formation_energy_ev_per_atom=-1.2477 volume_a3_per_cell=246 pbc="T T T"
Pm 2.2031 3.6456 5.6683
Pm 2.2031 1.3551 1.7173
Pm 0.0000 5.0008 1.7455
Pm 0.0000 -0.0002 5.6401
Te 2.2031 -1.3341 3.6202
Si 2.2031 3.8344 0.0725
Te 0.0000 2.5003 3.6928
Sb 0.0000 0.0000 0.0000

[6]
10
Lattice="4.8818 0.0000 0.0000 -2.4409 7.3258 -0.9150 0.0000 -3.7247 7.7681" Properties=species:S:1:pos:R:3 comment="PBE Tm3SbOs, relaxed" e_tot_ev_per_atom=-6.295 magnetic_moment_mub_per_fu=0.0 raw_formation_energy_ev_per_atom=-0.5413 volume_a3_per_cell=261 pbc="T T T"
Tm 2.4409 2.7906 1.3700
Tm 0.0000 5.1414 0.8337
Os 0.0000 2.4313 -0.2729
Sb 2.4409 0.3311 3.5412
Tm 2.4409 3.3751 5.2800
Tm 0.0000 0.2261 1.5731
Os 2.4409 1.1699 7.1260
Sb 0.0000 3.2701 3.3119
Tm 0.0000 0.8106 5.4831
Tm 2.4409 -1.5402 6.0193

[7]
4
Lattice="0.0000 3.2196 3.2196 3.2196 0.0000 3.2196 3.2196 3.2196 0.0000" Properties=species:S:1:pos:R:3 comment="PBE Nb2PdCl, relaxed" e_tot_ev_per_atom=-6.620 magnetic_moment_mub_per_fu=0.0 raw_formation_energy_ev_per_atom=0.1752 polymorph_energy_ev_per_atom=0.000 volume_a3_per_cell=67 pbc="T T T"
Cl 0.0000 0.0000 0.0000
Pd 3.2196 3.2196 3.2196
Nb 1.6098 1.6098 1.6098
Nb 4.8293 4.8293 4.8293

[8]
4
Lattice="-2.9170 -2.4562 3.4043 -2.0107 -4.5521 -1.1692 1.7453 -4.2276 2.2832" Properties=species:S:1:pos:R:3 comment="PBE AgSnBiAu, relaxed" e_tot_ev_per_atom=-3.441 magnetic_moment_mub_per_fu=0.0 ef_ev_per_atom=0.062 volume_a3_per_cell=94 pbc="T T T"
Au -1.5912 -5.6180 2.2591
Ag 0.0000 0.0000 0.0000
Bi -2.3868 -8.4269 3.3887
Sn -0.7956 -2.8090 1.1296

[9]
8
Lattice="6.5662 0.0000 0.0000 3.2831 5.5373 0.0736 3.2831 0.5272 5.5127" Properties=species:S:1:pos:R:3 comment="PBE BaThCu2S4, relaxed" e_tot_ev_per_atom=-5.486 magnetic_moment_mub_per_fu=0.0 raw_formation_energy_ev_per_atom=-1.2301 volume_a3_per_cell=200 pbc="T T T"
Cu 3.2831 2.0728 1.9094
Ba 0.0000 0.0000 0.0000
S 4.9307 5.1811 2.8560
S 4.9307 0.8834 2.7302
Th 6.5662 3.0322 2.7931
Cu 9.8494 3.9917 3.6769
S 8.2018 2.7935 0.6567
S 8.2018 3.2710 4.9296

[10]
5
Lattice="-4.9561 2.4216 0.7885 -2.5399 -4.8262 -1.1423 0.1780 -1.3129 5.1512" Properties=species:S:1:pos:R:3 comment="PBE LaSiP2Cl, relaxed" e_tot_ev_per_atom=-4.117 magnetic_moment_mub_per_fu=0.4 raw_formation_energy_ev_per_atom=0.4865 polymorph_energy_ev_per_atom=1.053 volume_a3_per_cell=165 pbc="T T T"
P -1.2699 -2.4131 -0.5711
La 0.0000 0.0000 0.0000
Si -3.6590 -1.8588 2.3987
P -2.4780 1.2108 0.3942
Cl 0.0890 -0.6564 2.5756

[11]
9
Lattice="3.9859 0.0000 0.0000 -1.9929 6.6997 0.7430 0.0000 -0.9619 9.1007" Properties=species:S:1:pos:R:3 comment="PBE U2MoS6, relaxed" e_tot_ev_per_atom=-7.204 magnetic_moment_mub_per_fu=6.0 raw_formation_energy_ev_per_atom=-0.7405 volume_a3_per_cell=246 pbc="T T T"
S 0.0000 1.7073 3.5927
U 0.0000 3.6845 2.1122
S 1.9929 0.1185 5.9895
U 1.9929 2.0533 7.7314
S 0.0000 5.6193 3.8542
S 1.9929 4.0304 6.2510
Mo 0.0000 -0.4810 4.5504
S 0.0000 1.0022 9.0908
S 1.9929 4.7356 0.7529

[12]
9
Lattice="-0.4693 1.7448 3.2451 -9.1071 -1.5558 -0.4804 5.5353 -6.1655 4.1156" Properties=species:S:1:pos:R:3 comment="PBE Pr3NdSm3Zn2, relaxed" e_tot_ev_per_atom=-3.982 magnetic_moment_mub_per_fu=0.0 ef_ev_per_atom=-0.003 volume_a3_per_cell=275 pbc="T T T"
Pr -1.3491 -1.5368 2.7568
Zn 0.4199 -3.7565 4.2061
Sm -2.2113 -4.7803 2.2506
Nd 0.0000 0.0000 0.0000
Sm -3.4688 -0.5926 -0.1830
Pr 3.5735 -3.3693 4.4539
Sm 2.1083 -2.3484 1.5676
Pr -6.5001 -0.1979 1.2920
Zn -4.4609 -2.2199 2.6741